Entry from Alexandria via LeMat-Bulk: a relaxed LaPr2DyHg2 crystal (PBE).

```
LaPr2DyHg2
1.0
5.214 0.000 0.000
0.000 9.634 0.000
0.000 0.000 7.397
La Pr Dy Hg
2 4 2 4
direct
0.000 0.059 0.000
0.000 0.941 0.500
0.000 0.329 0.344
0.000 0.671 0.844
0.500 0.441 0.026
0.500 0.559 0.526
0.500 0.179 0.676
0.500 0.821 0.176
0.000 0.347 0.769
0.000 0.653 0.269
0.500 0.138 0.261
0.500 0.862 0.761
```

Calculated values
Calculated formation energy ... -1.94 eV per formula unit
D(E_F) ... 0.7916 states/eV/atom
Calculated density ... 8.80 Mg/m³